[1]
# Ge2PdRh

Crystalline Ge2PdRh at its relaxed geometry (PBE-GGA, Alexandria via LeMat-Bulk). Values from VASP.

Cell and atoms, written as Quantum ESPRESSO input:
```
&SYSTEM
  ibrav = 0, nat = 8, ntyp = 3
/
ATOMIC_SPECIES
Ge 72.64 Ge.upf
Pd 106.42 Pd.upf
Rh 102.91 Rh.upf
CELL_PARAMETERS angstrom
3.296 0.000 0.000
0.000 5.983 0.000
0.000 0.000 6.613
ATOMIC_POSITIONS crystal
Ge 0.000 0.059 0.000
Ge 0.000 0.395 0.488
Ge 0.500 0.605 0.988
Ge 0.500 0.941 0.500
Pd 0.000 0.735 0.265
Pd 0.500 0.265 0.765
Rh 0.000 0.726 0.720
Rh 0.500 0.274 0.220
```

Energy of formation, kJ/mol of formula units: -138.4
Raw total energy, eV/atom: -5.803
Space-group type: Pmn2_1 (31)
Magnetic moment, μB per formula unit: 0.0

=====

[2]
# B2IrW

Crystalline B2IrW at its relaxed geometry (PBE-GGA, Alexandria via LeMat-Bulk). Values from VASP.

Cell and atoms, written as Quantum ESPRESSO input:
```
&SYSTEM
  ibrav = 0, nat = 8, ntyp = 3
/
ATOMIC_SPECIES
B 10.81 B.upf
Ir 192.22 Ir.upf
W 183.84 W.upf
CELL_PARAMETERS angstrom
-2.290 2.290 5.234
2.290 -2.290 5.234
2.290 2.290 -5.234
ATOMIC_POSITIONS crystal
B 0.099 0.625 0.974
B 0.375 0.349 0.474
B 0.651 0.125 0.026
B 0.875 0.901 0.526
Ir 0.000 0.000 0.000
Ir 0.750 0.250 0.500
W 0.250 0.750 0.500
W 0.500 0.500 0.000
```

Energy of formation, kJ/mol of formula units: 239.8
Raw total energy, eV/atom: -8.171
Space-group type: I-42d (122)
Magnetic moment, μB per formula unit: 0.0

=====

[3]
# KTi3Os

Crystalline KTi3Os at its relaxed geometry (PBE-GGA, Alexandria via LeMat-Bulk). Values from VASP.

Cell and atoms, written as Quantum ESPRESSO input:
```
&SYSTEM
  ibrav = 0, nat = 5, ntyp = 3
/
ATOMIC_SPECIES
K 39.10 K.upf
Ti 47.87 Ti.upf
Os 190.23 Os.upf
CELL_PARAMETERS angstrom
4.380 0.000 0.000
0.000 4.380 0.000
0.000 0.000 4.380
ATOMIC_POSITIONS crystal
K 0.000 0.000 0.000
Ti 0.000 0.000 0.500
Ti 0.000 0.500 0.000
Ti 0.500 0.000 0.000
Os 0.500 0.500 0.500
```

Energy of formation, kJ/mol of formula units: 1000.1
Raw total energy, eV/atom: -5.129
Space-group type: Pm-3m (221)
Magnetic moment, μB per formula unit: 0.2

=====

[4]
# IrAu

Crystalline IrAu at its relaxed geometry (PBE-GGA, Alexandria via LeMat-Bulk). Values from VASP.

Cell and atoms, written as Quantum ESPRESSO input:
```
&SYSTEM
  ibrav = 0, nat = 12, ntyp = 2
/
ATOMIC_SPECIES
Ir 192.22 Ir.upf
Au 196.97 Au.upf
CELL_PARAMETERS angstrom
4.289 0.000 0.000
0.000 11.292 0.000
0.000 0.000 4.834
ATOMIC_POSITIONS crystal
Ir 0.250 0.137 0.158
Ir 0.250 0.363 0.158
Ir 0.250 0.750 0.712
Ir 0.750 0.250 0.288
Ir 0.750 0.637 0.842
Ir 0.750 0.863 0.842
Au 0.250 0.250 0.666
Au 0.250 0.501 0.698
Au 0.250 0.999 0.698
Au 0.750 0.001 0.302
Au 0.750 0.499 0.302
Au 0.750 0.750 0.334
```

Energy of formation, kJ/mol of formula units: 123.1
Raw total energy, eV/atom: -5.431
Space-group type: Pmmn (59)
Magnetic moment, μB per formula unit: 0.0

=====

[5]
# PuMgGe

Crystalline PuMgGe at its relaxed geometry (PBE-GGA, Alexandria via LeMat-Bulk). Values from VASP.

Cell and atoms, written as Quantum ESPRESSO input:
```
&SYSTEM
  ibrav = 0, nat = 6, ntyp = 3
/
ATOMIC_SPECIES
Pu 244.00 Pu.upf
Mg 24.30 Mg.upf
Ge 72.64 Ge.upf
CELL_PARAMETERS angstrom
4.198 0.000 0.000
0.000 4.198 0.000
0.000 0.000 7.674
ATOMIC_POSITIONS crystal
Pu 0.250 0.250 0.134
Pu 0.750 0.750 0.866
Mg 0.250 0.750 0.500
Mg 0.750 0.250 0.500
Ge 0.250 0.250 0.740
Ge 0.750 0.750 0.260
```

Energy of formation, kJ/mol of formula units: -99.5
Raw total energy, eV/atom: -7.192
Space-group type: P4/nmm (129)
Magnetic moment, μB per formula unit: 6.0

=====

[6]
# NaAgMo2

Crystalline NaAgMo2 at its relaxed geometry (PBE-GGA, Alexandria via LeMat-Bulk). Values from VASP.

Cell and atoms, written as Quantum ESPRESSO input:
```
&SYSTEM
  ibrav = 0, nat = 4, ntyp = 3
/
ATOMIC_SPECIES
Na 22.99 Na.upf
Ag 107.87 Ag.upf
Mo 95.94 Mo.upf
CELL_PARAMETERS angstrom
0.000 3.244 3.244
3.244 0.000 3.244
3.244 3.244 0.000
ATOMIC_POSITIONS crystal
Na 0.000 0.000 0.000
Ag 0.500 0.500 0.500
Mo 0.250 0.250 0.250
Mo 0.750 0.750 0.750
```

Energy of formation, kJ/mol of formula units: 533.4
Raw total energy, eV/atom: -5.076
Space-group type: Fm-3m (225)
Magnetic moment, μB per formula unit: 0.0

=====

[7]
# Sm3Y2Ga2

Crystalline Sm3Y2Ga2 at its relaxed geometry (PBE-GGA, Alexandria via LeMat-Bulk). Values from VASP.

Cell and atoms, written as Quantum ESPRESSO input:
```
&SYSTEM
  ibrav = 0, nat = 7, ntyp = 3
/
ATOMIC_SPECIES
Sm 150.36 Sm.upf
Y 88.91 Y.upf
Ga 69.72 Ga.upf
CELL_PARAMETERS angstrom
6.108 -2.073 0.000
6.108 2.073 0.000
-3.400 0.000 7.990
ATOMIC_POSITIONS crystal
Sm 0.000 0.000 0.000
Sm 0.117 0.117 0.434
Sm 0.883 0.883 0.566
Y 0.348 0.348 0.189
Y 0.652 0.652 0.811
Ga 0.322 0.322 0.791
Ga 0.678 0.678 0.209
```

Energy of formation, kJ/mol of formula units: -216.6
Raw total energy, eV/atom: -5.055
Space-group type: C2/m (12)
Magnetic moment, μB per formula unit: 0.0

=====

[8]
# LaCe2Th6

Crystalline LaCe2Th6 at its relaxed geometry (PBE-GGA, Alexandria via LeMat-Bulk). Values from VASP.

Cell and atoms, written as Quantum ESPRESSO input:
```
&SYSTEM
  ibrav = 0, nat = 9, ntyp = 3
/
ATOMIC_SPECIES
La 138.91 La.upf
Ce 140.12 Ce.upf
Th 232.04 Th.upf
CELL_PARAMETERS angstrom
3.513 0.000 0.000
-1.757 3.043 0.000
0.000 0.000 27.036
ATOMIC_POSITIONS crystal
La 0.000 0.000 0.000
Ce 0.667 0.333 0.331
Ce 0.667 0.333 0.669
Th 0.000 0.000 0.224
Th 0.000 0.000 0.439
Th 0.000 0.000 0.561
Th 0.000 0.000 0.776
Th 0.667 0.333 0.115
Th 0.667 0.333 0.885
```

Energy of formation, kJ/mol of formula units: 95.1
Raw total energy, eV/atom: -6.703
Space-group type: P-6m2 (187)
Magnetic moment, μB per formula unit: 0.0

=====

[9]
# ZnOsPt2

Crystalline ZnOsPt2 at its relaxed geometry (PBE-GGA, Alexandria via LeMat-Bulk). Values from VASP.

Cell and atoms, written as Quantum ESPRESSO input:
```
&SYSTEM
  ibrav = 0, nat = 8, ntyp = 3
/
ATOMIC_SPECIES
Zn 65.41 Zn.upf
Os 190.23 Os.upf
Pt 195.08 Pt.upf
CELL_PARAMETERS angstrom
-1.914 1.914 8.921
1.914 -1.914 8.921
1.914 1.914 -8.921
ATOMIC_POSITIONS crystal
Zn 0.000 0.000 0.000
Zn 0.750 0.250 0.500
Os 0.250 0.750 0.500
Os 0.500 0.500 0.000
Pt 0.127 0.625 0.002
Pt 0.375 0.377 0.502
Pt 0.623 0.125 0.998
Pt 0.875 0.873 0.498
```

Energy of formation, kJ/mol of formula units: 157.8
Raw total energy, eV/atom: -5.738
Space-group type: I-42d (122)
Magnetic moment, μB per formula unit: 0.4

=====

[10]
# ReNiW2

Crystalline ReNiW2 at its relaxed geometry (PBE-GGA, Alexandria via LeMat-Bulk). Values from VASP.

Cell and atoms, written as Quantum ESPRESSO input:
```
&SYSTEM
  ibrav = 0, nat = 4, ntyp = 3
/
ATOMIC_SPECIES
Re 186.21 Re.upf
Ni 58.69 Ni.upf
W 183.84 W.upf
CELL_PARAMETERS angstrom
2.799 0.000 0.000
0.000 3.822 0.000
0.000 0.000 5.511
ATOMIC_POSITIONS crystal
Re 0.000 0.000 0.000
Ni 0.000 0.000 0.500
W 0.500 0.500 0.256
W 0.500 0.500 0.744
```

Energy of formation, kJ/mol of formula units: 60.7
Raw total energy, eV/atom: -10.877
Space-group type: Pmmm (47)
Magnetic moment, μB per formula unit: 0.0

=====

[11]
# RbSrHg2Bi2

Crystalline RbSrHg2Bi2 at its relaxed geometry (PBE-GGA, Alexandria via LeMat-Bulk). Values from VASP.

Cell and atoms, written as Quantum ESPRESSO input:
```
&SYSTEM
  ibrav = 0, nat = 6, ntyp = 4
/
ATOMIC_SPECIES
Rb 85.47 Rb.upf
Sr 87.62 Sr.upf
Hg 200.59 Hg.upf
Bi 208.98 Bi.upf
CELL_PARAMETERS angstrom
5.218 0.000 0.000
-2.609 4.519 0.000
0.000 0.000 9.444
ATOMIC_POSITIONS crystal
Rb 0.000 0.000 0.000
Sr 0.000 0.000 0.500
Hg 0.333 0.667 0.334
Hg 0.667 0.333 0.666
Bi 0.333 0.667 0.727
Bi 0.667 0.333 0.273
```

Energy of formation, kJ/mol of formula units: -255.3
Raw total energy, eV/atom: -2.277
Space-group type: P-3m1 (164)
Magnetic moment, μB per formula unit: 0.0

=====

[12]
# K2SrTlIn

Crystalline K2SrTlIn at its relaxed geometry (PBE-GGA, Alexandria via LeMat-Bulk). Values from VASP.

Cell and atoms, written as Quantum ESPRESSO input:
```
&SYSTEM
  ibrav = 0, nat = 5, ntyp = 4
/
ATOMIC_SPECIES
K 39.10 K.upf
Sr 87.62 Sr.upf
Tl 204.38 Tl.upf
In 114.82 In.upf
CELL_PARAMETERS angstrom
6.160 -2.338 0.000
6.160 2.338 0.000
-6.152 0.000 7.037
ATOMIC_POSITIONS crystal
K 0.000 0.000 0.000
K 0.178 0.178 0.844
Sr 0.587 0.587 0.423
Tl 0.825 0.825 0.302
In 0.350 0.350 0.545
```

Energy of formation, kJ/mol of formula units: -50.4
Raw total energy, eV/atom: -1.901
Space-group type: Cm (8)
Magnetic moment, μB per formula unit: 0.0

=====

[13]
# Th8CoRu2

Crystalline Th8CoRu2 at its relaxed geometry (PBE-GGA, Alexandria via LeMat-Bulk). Values from VASP.

Cell and atoms, written as Quantum ESPRESSO input:
```
&SYSTEM
  ibrav = 0, nat = 11, ntyp = 3
/
ATOMIC_SPECIES
Th 232.04 Th.upf
Co 58.93 Co.upf
Ru 101.07 Ru.upf
CELL_PARAMETERS angstrom
3.928 -6.817 0.000
3.928 6.817 0.000
-2.719 0.000 5.678
ATOMIC_POSITIONS crystal
Th 0.000 0.000 0.000
Th 0.140 0.545 0.181
Th 0.215 0.956 0.562
Th 0.435 0.681 0.802
Th 0.545 0.140 0.181
Th 0.657 0.657 0.356
Th 0.681 0.435 0.802
Th 0.956 0.215 0.562
Co 0.323 0.323 0.939
Ru 0.020 0.625 0.697
Ru 0.625 0.020 0.697
```

Energy of formation, kJ/mol of formula units: -131.3
Raw total energy, eV/atom: -7.852
Space-group type: Cm (8)
Magnetic moment, μB per formula unit: 0.0

=====

[14]
# Ce6Te5S

Crystalline Ce6Te5S at its relaxed geometry (PBE-GGA, Alexandria via LeMat-Bulk). Values from VASP.

Cell and atoms, written as Quantum ESPRESSO input:
```
&SYSTEM
  ibrav = 0, nat = 12, ntyp = 3
/
ATOMIC_SPECIES
Ce 140.12 Ce.upf
Te 127.60 Te.upf
S 32.06 S.upf
CELL_PARAMETERS angstrom
3.831 -6.622 0.000
3.831 6.622 0.000
-2.545 0.000 7.177
ATOMIC_POSITIONS crystal
Ce 0.075 0.382 0.729
Ce 0.225 0.225 0.258
Ce 0.382 0.075 0.729
Ce 0.618 0.925 0.271
Ce 0.775 0.775 0.742
Ce 0.925 0.618 0.271
Te 0.179 0.821 0.000
Te 0.336 0.664 0.500
Te 0.500 0.500 0.000
Te 0.664 0.336 0.500
Te 0.821 0.179 0.000
S 0.000 0.000 0.500
```

Raw total energy, eV/atom: -6.071
Energy relative to the elements, uncorrected, eV/atom: -1.45
Space-group type: C2/m (12)
Magnetic moment, μB per formula unit: 6.5

=====

[15]
# LaTaIn2

Crystalline LaTaIn2 at its relaxed geometry (PBE-GGA, Alexandria via LeMat-Bulk). Values from VASP.

Cell and atoms, written as Quantum ESPRESSO input:
```
&SYSTEM
  ibrav = 0, nat = 4, ntyp = 3
/
ATOMIC_SPECIES
La 138.91 La.upf
Ta 180.95 Ta.upf
In 114.82 In.upf
CELL_PARAMETERS angstrom
3.298 0.000 0.000
0.000 4.006 0.000
0.000 0.000 7.800
ATOMIC_POSITIONS crystal
La 0.000 0.000 0.000
Ta 0.500 0.500 0.269
In 0.000 0.000 0.447
In 0.500 0.500 0.685
```

Energy of formation, kJ/mol of formula units: 81.4
Raw total energy, eV/atom: -5.353
Space-group type: Pmm2 (25)
Magnetic moment, μB per formula unit: 0.0

=====

[16]
# CsB6N6

Crystalline CsB6N6 at its relaxed geometry (PBE-GGA, Alexandria via LeMat-Bulk). Values from VASP.

Cell and atoms, written as Quantum ESPRESSO input:
```
&SYSTEM
  ibrav = 0, nat = 13, ntyp = 3
/
ATOMIC_SPECIES
Cs 132.91 Cs.upf
B 10.81 B.upf
N 14.01 N.upf
CELL_PARAMETERS angstrom
4.777 0.000 0.000
0.000 4.777 0.000
0.000 0.000 4.777
ATOMIC_POSITIONS crystal
Cs 0.000 0.000 0.000
B 0.000 0.277 0.500
B 0.000 0.723 0.500
B 0.277 0.500 0.000
B 0.500 0.000 0.277
B 0.500 0.000 0.723
B 0.723 0.500 0.000
N 0.000 0.500 0.259
N 0.000 0.500 0.741
N 0.259 0.000 0.500
N 0.500 0.259 0.000
N 0.500 0.741 0.000
N 0.741 0.000 0.500
```

Raw total energy, eV/atom: -7.013
Energy relative to the elements, uncorrected, eV/atom: -0.02
Space-group type: Pm-3 (200)
Magnetic moment, μB per formula unit: 0.0

=====

[17]
# Sr2ScPdO6

Crystalline Sr2ScPdO6 at its relaxed geometry (PBE-GGA, Alexandria via LeMat-Bulk). Values from VASP.

Cell and atoms, written as Quantum ESPRESSO input:
```
&SYSTEM
  ibrav = 0, nat = 20, ntyp = 4
/
ATOMIC_SPECIES
Sr 87.62 Sr.upf
Sc 44.96 Sc.upf
Pd 106.42 Pd.upf
O 16.00 O.upf
CELL_PARAMETERS angstrom
5.710 0.000 0.000
0.000 5.701 0.000
-5.690 0.000 8.062
ATOMIC_POSITIONS crystal
Sr 0.246 0.025 0.250
Sr 0.246 0.475 0.750
Sr 0.754 0.525 0.250
Sr 0.754 0.975 0.750
Sc 0.500 0.000 0.000
Sc 0.500 0.500 0.500
Pd 0.000 0.000 0.500
Pd 0.000 0.500 0.000
O 0.184 0.224 0.970
O 0.184 0.276 0.470
O 0.244 0.715 0.970
O 0.244 0.785 0.470
O 0.302 0.008 0.745
O 0.302 0.492 0.245
O 0.698 0.508 0.755
O 0.698 0.992 0.255
O 0.756 0.215 0.530
O 0.756 0.285 0.030
O 0.816 0.724 0.530
O 0.816 0.776 0.030
```

Raw total energy, eV/atom: -6.624
Energy relative to the elements, uncorrected, eV/atom: -2.16
Space-group type: P2_1/c (14)
Magnetic moment, μB per formula unit: 0.8

=====

What did we get for D(E_F)? Answer: 1.73 3.76 8.71 2.15 9.14 4.40 6.68 16.19 3.42 3.82 1.72 2.44 13.23 41.68 4.93 2.34 9.22 states/eV/f.u., in the order shown.